Entry from the Alexandria database: a relaxed structure of Na3DyBi2O6 (PBE).

abc: 6.0758 6.0758 6.0163
angles: 99.70 99.70 120.02
Element x y z (fractional)
Na1 0.1663 0.8337 0.5000
Na2 0.8337 0.1663 0.5000
Na3 0.5000 0.5000 0.5000
O1 0.0748 0.3936 0.2236
O2 0.7543 0.7543 0.2210
O3 0.9252 0.6064 0.7764
O4 0.3936 0.0748 0.2236
O5 0.2457 0.2457 0.7790
O6 0.6064 0.9252 0.7764
Dy1 0.0000 0.0000 0.0000
Bi1 0.6666 0.3334 0.0000
Bi2 0.3334 0.6666 0.0000

E_form (uncorrected)   -1.8197 eV/atom
DOS(E_F)   0.0 states/eV/cell